Pr2Er2Tm3: optimized geometry, GGA-PBE.

Values from the calculation:
As for the energy of formation from the pure elements: 217 meV/atom. The symmetry is P2/m. The energy above the most stable polymorph in this dataset is 0 meV per atom. As for the calculated volume: 236.68 Å³ per cell.

abc: 6.270 3.532 12.348
angles: 90.00 59.94 90.00
Positions (direct):
Er 0.275 0.500 0.728
Er 0.725 0.500 0.272
Pr 0.693 0.000 0.810
Pr 0.307 0.000 0.190
Tm 0.248 0.000 0.500
Tm 0.752 0.000 0.500
Tm 0.000 0.000 0.000